1.
Material: RuPb2O4
Method: DFT, GGA-PBE
State: optimized geometry

POSCAR file:
```
RuPb2O4
1.0
-1.959 1.959 6.569
1.959 -1.959 6.569
1.959 1.959 -6.569
Ru Pb O
1 2 4
direct
0.000 0.000 0.000
0.348 0.348 0.000
0.652 0.652 0.000
0.000 0.500 0.500
0.159 0.159 0.000
0.500 0.000 0.500
0.841 0.841 0.000
```

2.
Material: RuPbO2
Method: DFT, GGA-PBE
State: optimized geometry

POSCAR file:
```
RuPbO2
1.0
1.561 0.901 7.427
-1.561 0.901 7.427
0.000 -1.803 7.427
Ru Pb O
1 1 2
direct
0.000 0.000 0.000
0.500 0.500 0.500
0.081 0.081 0.081
0.919 0.919 0.919
```

3.
Material: RuPbO6
Method: DFT, GGA-PBE
State: optimized geometry

POSCAR file:
```
RuPbO6
1.0
3.407 1.967 2.419
-3.407 1.967 2.419
0.000 -3.934 2.419
Ru Pb O
1 1 6
direct
0.000 0.000 0.000
0.500 0.500 0.500
0.098 0.716 0.716
0.284 0.284 0.902
0.284 0.902 0.284
0.716 0.098 0.716
0.716 0.716 0.098
0.902 0.284 0.284
```

4.
Material: RuPbO3
Method: DFT, GGA-PBE
State: optimized geometry

POSCAR file:
```
RuPbO3
1.0
6.957 0.000 0.000
0.000 12.035 0.000
0.000 0.000 3.908
Ru Pb O
4 4 12
direct
0.196 0.250 0.110
0.304 0.750 0.610
0.696 0.250 0.390
0.804 0.750 0.890
0.000 0.000 0.500
0.000 0.500 0.500
0.500 0.000 0.000
0.500 0.500 0.000
0.035 0.750 0.641
0.174 0.096 0.999
0.174 0.404 0.999
0.326 0.596 0.499
0.326 0.904 0.499
0.465 0.250 0.141
0.535 0.750 0.859
0.674 0.096 0.501
0.674 0.404 0.501
0.826 0.596 0.001
0.826 0.904 0.001
0.965 0.250 0.359
```

5.
Material: RuPbS2O8
Method: DFT, GGA-PBE
State: optimized geometry

POSCAR file:
```
RuPbS2O8
1.0
4.194 -2.638 0.000
4.194 2.638 0.000
-0.350 0.000 7.545
Ru Pb S O
1 1 2 8
direct
0.000 0.000 0.000
0.000 0.000 0.500
0.363 0.363 0.216
0.637 0.637 0.784
0.237 0.702 0.208
0.248 0.248 0.065
0.297 0.297 0.395
0.298 0.763 0.792
0.702 0.237 0.208
0.703 0.703 0.605
0.752 0.752 0.935
0.763 0.298 0.792
```

6.
Material: SbRuPb2O6
Method: DFT, GGA-PBE
State: optimized geometry

POSCAR file:
```
SbRuPb2O6
1.0
5.809 0.000 0.000
0.000 8.139 0.000
0.000 0.000 5.858
Sb Ru Pb O
2 2 4 12
direct
0.250 0.250 0.243
0.750 0.750 0.757
0.250 0.750 0.243
0.750 0.250 0.757
0.250 0.524 0.721
0.250 0.976 0.721
0.750 0.024 0.279
0.750 0.476 0.279
0.015 0.750 0.516
0.016 0.750 0.985
0.250 0.502 0.287
0.250 0.998 0.287
0.484 0.750 0.985
0.485 0.750 0.516
0.515 0.250 0.484
0.516 0.250 0.015
0.750 0.002 0.713
0.750 0.498 0.713
0.984 0.250 0.015
0.985 0.250 0.484
```

7.
Material: SbRuPbO6
Method: DFT, GGA-PBE
State: optimized geometry

POSCAR file:
```
SbRuPbO6
1.0
4.846 0.000 0.000
0.000 4.846 0.000
0.000 0.000 9.871
Sb Ru Pb O
2 2 2 12
direct
0.000 0.000 0.000
0.500 0.500 0.500
0.000 0.000 0.334
0.500 0.500 0.834
0.000 0.000 0.667
0.500 0.500 0.167
0.176 0.176 0.169
0.200 0.200 0.488
0.206 0.206 0.847
0.294 0.706 0.347
0.300 0.700 0.988
0.324 0.676 0.669
0.676 0.324 0.669
0.700 0.300 0.988
0.706 0.294 0.347
0.794 0.794 0.847
0.800 0.800 0.488
0.824 0.824 0.169
```

8.
Material: ScRuPbO6
Method: DFT, GGA-PBE
State: optimized geometry

POSCAR file:
```
ScRuPbO6
1.0
5.324 0.000 0.000
-2.662 4.610 0.000
0.000 0.000 4.840
Sc Ru Pb O
1 1 1 6
direct
0.000 0.000 0.000
0.333 0.667 0.000
0.667 0.333 0.500
0.044 0.355 0.226
0.044 0.689 0.774
0.311 0.355 0.774
0.311 0.956 0.226
0.645 0.689 0.226
0.645 0.956 0.774
```

9.
Material: Sc2RuPbO8
Method: DFT, GGA-PBE
State: optimized geometry

POSCAR file:
```
Sc2RuPbO8
1.0
4.817 0.000 0.000
0.000 6.554 0.000
-0.073 0.000 4.822
Sc Ru Pb O
2 1 1 8
direct
0.000 0.249 0.000
0.000 0.751 0.000
0.500 0.500 0.500
0.500 0.000 0.500
0.184 0.000 0.183
0.221 0.500 0.220
0.306 0.281 0.692
0.306 0.719 0.692
0.694 0.281 0.308
0.694 0.719 0.308
0.779 0.500 0.780
0.816 0.000 0.817
```

10.
Material: RuPbSe2O8
Method: DFT, GGA-PBE
State: optimized geometry

POSCAR file:
```
RuPbSe2O8
1.0
4.344 -2.857 0.000
4.344 2.857 0.000
-0.198 0.000 7.358
Ru Pb Se O
1 1 2 8
direct
0.000 0.000 0.000
0.000 0.000 0.500
0.359 0.359 0.199
0.641 0.641 0.801
0.232 0.735 0.201
0.233 0.233 0.012
0.265 0.768 0.799
0.284 0.284 0.408
0.716 0.716 0.592
0.735 0.232 0.201
0.767 0.767 0.988
0.768 0.265 0.799
```

11.
Material: SiRuPbO6
Method: DFT, GGA-PBE
State: optimized geometry

POSCAR file:
```
SiRuPbO6
1.0
5.024 0.000 0.000
-2.512 4.351 0.000
0.000 0.000 5.232
Si Ru Pb O
1 1 1 6
direct
0.000 0.000 0.000
0.667 0.333 0.000
0.333 0.667 0.500
0.313 0.041 0.198
0.313 0.272 0.802
0.728 0.041 0.802
0.728 0.687 0.198
0.959 0.272 0.198
0.959 0.687 0.802
```

12.
Material: SmRuPb2O6
Method: DFT, GGA-PBE
State: optimized geometry

POSCAR file:
```
SmRuPb2O6
1.0
5.901 0.000 0.000
0.000 5.949 0.000
-5.853 0.000 8.367
Sm Ru Pb O
2 2 4 12
direct
0.000 0.000 0.000
0.000 0.500 0.500
0.500 0.000 0.500
0.500 0.500 0.000
0.262 0.033 0.752
0.262 0.467 0.252
0.738 0.533 0.748
0.738 0.967 0.248
0.185 0.020 0.271
0.185 0.480 0.771
0.278 0.692 0.046
0.278 0.808 0.546
0.360 0.226 0.044
0.360 0.274 0.544
0.640 0.726 0.456
0.640 0.774 0.956
0.722 0.192 0.454
0.722 0.308 0.954
0.815 0.520 0.229
0.815 0.980 0.729
```

Formation energy without anion corrections per entry: -0.9286 -0.2884 -0.2193 -0.7917 -1.1256 -1.0055 -1.0482 -1.5534 -1.8931 -0.6757 -1.4746 -1.5976 eV/atom